Compound: CaZnRh2
Source: Alexandria via LeMat-Bulk
Functional: PBE-GGA
Structure: optimized geometry

Values from the calculation:
Energy of formation ... -0.213 eV/atom

The structure in POSCAR format:
```
CaZnRh2
1.0
4.660 0.000 -0.003
3.667 2.875 -0.003
1.113 0.384 5.183
Rh Ca Zn
2 1 1
Direct
0.013 0.013 0.948
0.487 0.487 0.552
0.250 0.250 0.250
0.750 0.750 0.750
```

Compound: KAgF3
Source: Alexandria via LeMat-Bulk
Functional: PBE-GGA
Structure: optimized geometry

Values from the calculation:
Formation energy from raw total energies ... -1.848 eV/atom

The structure in POSCAR format:
```
KAgF3
1.0
-2.518 2.735 -0.532
-1.621 -3.382 -0.489
0.747 -1.743 7.086
F K Ag
3 1 1
Direct
0.767 0.471 0.488
0.477 0.062 0.791
0.186 0.654 0.094
0.977 0.062 0.291
0.977 0.562 0.791
```

Compound: AlBW3
Source: Alexandria via LeMat-Bulk
Functional: PBE-GGA
Structure: optimized geometry

Values from the calculation:
Energy of formation ... 0.296 eV/atom

The structure in POSCAR format:
```
AlBW3
1.0
4.207 0.000 0.000
0.000 4.207 0.000
0.000 0.000 4.207
Al W B
1 3 1
Direct
0.500 0.500 0.500
0.500 0.000 0.000
0.000 0.500 0.000
0.000 0.000 0.500
0.000 0.000 0.000
```

Compound: LiTcAg
Source: Alexandria via LeMat-Bulk
Functional: PBE-GGA
Structure: optimized geometry

Values from the calculation:
Energy of formation ... 0.500 eV/atom

The structure in POSCAR format:
```
LiTcAg
1.0
4.908 -0.002 0.004
2.335 4.318 -0.004
-3.017 -3.173 2.219
Ag Tc Li
1 1 1
Direct
0.001 0.001 0.000
0.665 0.665 0.000
0.335 0.335 0.000
```

Repeat the fourth record exactly.
Compound: LiTcAg
Source: Alexandria via LeMat-Bulk
Functional: PBE-GGA
Structure: optimized geometry

Values from the calculation:
Energy of formation ... 0.500 eV/atom

The structure in POSCAR format:
```
LiTcAg
1.0
4.908 -0.002 0.004
2.335 4.318 -0.004
-3.017 -3.173 2.219
Ag Tc Li
1 1 1
Direct
0.001 0.001 0.000
0.665 0.665 0.000
0.335 0.335 0.000
```